Arrangement 1

VASP calculation (PBE-GGA) on TbY2H after structural relaxation.

M_tot = 0.000 μB per cell

a = 3.3616 Å, b = 3.3616 Å, c = 8.5181 Å
α = 90.00°, β = 90.00°, γ = 90.00°
Space group P4/mmm (No. 123)
Inequivalent atoms, fractional coordinates:
Tb1 0.0000 0.0000 0.0000 x1
Y1 0.5000 0.5000 0.3080 x2
H1 0.0000 0.0000 0.5000 x1

Arrangement 2

VASP calculation (PBE-GGA) on TbY2H after structural relaxation.

M_tot = 0.002 μB per cell

a = 3.5994 Å, b = 3.5994 Å, c = 25.7355 Å
α = 90.00°, β = 90.00°, γ = 120.00°
Space group R3m (No. 160, hexagonal axes)
Inequivalent atoms, fractional coordinates:
Tb1 0.0000 0.0000 0.0000 x3
Y1 0.0000 0.0000 0.5554 x3
Y2 0.0000 0.0000 0.7799 x3
H1 0.0000 0.0000 0.1666 x3

Arrangement 3

VASP calculation (PBE-GGA) on TbY2H after structural relaxation.

M_tot = 0.000 μB per cell

a = 3.6052 Å, b = 3.6052 Å, c = 25.6101 Å
α = 90.00°, β = 90.00°, γ = 120.00°
Space group R-3m (No. 166, hexagonal axes)
Inequivalent atoms, fractional coordinates:
Tb1 0.0000 0.0000 0.0000 x3
Y1 0.0000 0.0000 0.2207 x6
H1 0.0000 0.0000 0.5000 x3

In eV/atom, relative to the most stable structure: arrangement 1 0.320; arrangement 2 0.016; arrangement 3 0.000.

Arrangement 1

VASP calculation (PBE-GGA) on TbYH after structural relaxation.

M_tot = 0.000 μB per cell

a = 6.2977 Å, b = 14.5901 Å, c = 5.5680 Å
α = 90.00°, β = 90.00°, γ = 90.00°
Space group Pna2_1 (No. 33)
Inequivalent atoms, fractional coordinates:
Tb1 0.0810 0.0624 0.0000 x4
Tb2 0.0818 0.8125 0.9966 x4
Y1 0.0845 0.3116 0.0036 x4
Y2 0.0835 0.5633 0.0041 x4
H1 0.2463 0.4375 0.7524 x4
H2 0.2476 0.6867 0.7505 x4

Arrangement 2

VASP calculation (PBE-GGA) on TbYH after structural relaxation.

M_tot = 0.104 μB per cell

a = 3.7710 Å, b = 3.7710 Å, c = 5.4628 Å
α = 90.00°, β = 90.00°, γ = 120.00°
Space group P-6m2 (No. 187)
Inequivalent atoms, fractional coordinates:
Tb1 0.0000 0.0000 0.0000 x1
Y1 0.6667 0.3333 0.5000 x1
H1 0.6667 0.3333 0.0000 x1

In eV/atom, relative to the most stable structure: arrangement 1 0.047; arrangement 2 0.000.

Arrangement 1

VASP calculation (PBE-GGA) on TbYH after structural relaxation.

M_tot = 0.000 μB per cell

a = 3.6368 Å, b = 3.6368 Å, c = 5.6110 Å
α = 90.00°, β = 90.00°, γ = 120.00°
Space group P3m1 (No. 156)
Inequivalent atoms, fractional coordinates:
Tb1 0.0000 0.0000 0.0000 x1
Y1 0.6667 0.3333 0.5131 x1
H1 0.3333 0.6667 0.7547 x1

Arrangement 2

VASP calculation (PBE-GGA) on TbYH after structural relaxation.

M_tot = 0.000 μB per cell

a = 3.3556 Å, b = 3.3556 Å, c = 12.1874 Å
α = 90.00°, β = 90.00°, γ = 90.00°
Space group I4mm (No. 107)
Inequivalent atoms, fractional coordinates:
Tb1 0.0000 0.0000 0.0000 x2
Y1 0.0000 0.0000 0.7099 x2
H1 0.0000 0.0000 0.1837 x2

In eV/atom, relative to the most stable structure: arrangement 1 0.000; arrangement 2 0.127.

Arrangement 1

VASP calculation (PBE-GGA) on TbZrH after structural relaxation.

M_tot = 0.000 μB per cell

a = 3.3487 Å, b = 3.3487 Å, c = 33.5063 Å
α = 90.00°, β = 90.00°, γ = 120.00°
Space group R-3m (No. 166, hexagonal axes)
Inequivalent atoms, fractional coordinates:
Tb1 0.0000 0.0000 0.1221 x6
Zr1 0.0000 0.0000 0.3717 x6
H1 0.0000 0.0000 0.2609 x6

Arrangement 2

VASP calculation (PBE-GGA) on TbZrH after structural relaxation.

M_tot = 0.000 μB per cell

a = 3.4081 Å, b = 3.4081 Å, c = 5.4460 Å
α = 90.00°, β = 90.00°, γ = 120.00°
Space group P3m1 (No. 156)
Inequivalent atoms, fractional coordinates:
Tb1 0.0000 0.0000 0.0000 x1
Zr1 0.6667 0.3333 0.4933 x1
H1 0.3333 0.6667 0.7031 x1

In eV/atom, relative to the most stable structure: arrangement 1 0.000; arrangement 2 0.024.

Arrangement 1

VASP calculation (PBE-GGA) on TbZrH2 after structural relaxation.

M_tot = 0.000 μB per cell

a = 3.3641 Å, b = 3.3641 Å, c = 16.6273 Å
α = 90.00°, β = 90.00°, γ = 120.00°
Space group R-3m (No. 166, hexagonal axes)
Inequivalent atoms, fractional coordinates:
Tb1 0.0000 0.0000 0.0000 x3
Zr1 0.0000 0.0000 0.5000 x3
H1 0.0000 0.0000 0.2329 x6

Arrangement 2

VASP calculation (PBE-GGA) on TbZrH2 after structural relaxation.

M_tot = 0.000 μB per cell

a = 3.3546 Å, b = 3.3546 Å, c = 16.9460 Å
α = 90.00°, β = 90.00°, γ = 120.00°
Space group R3m (No. 160, hexagonal axes)
Inequivalent atoms, fractional coordinates:
Tb1 0.0000 0.0000 0.0000 x3
Zr1 0.0000 0.0000 0.8229 x3
H1 0.0000 0.0000 0.4213 x3
H2 0.0000 0.0000 0.5682 x3

In eV/atom, relative to the most stable structure: arrangement 1 0.000; arrangement 2 0.112.

Arrangement 1

VASP calculation (PBE-GGA) on TcH after structural relaxation.

M_tot = 0.000 μB per cell

a = 4.9358 Å, b = 4.9358 Å, c = 2.9617 Å
α = 90.00°, β = 90.00°, γ = 90.00°
Space group P4_2/mnm (No. 136)
Inequivalent atoms, fractional coordinates:
Tc1 0.2043 0.2043 0.0000 x4
H1 0.1570 0.8430 0.0000 x4

Arrangement 2

VASP calculation (PBE-GGA) on TcH after structural relaxation.

M_tot = 0.000 μB per cell

a = 5.6773 Å, b = 5.9562 Å, c = 8.2541 Å
α = 90.00°, β = 90.00°, γ = 90.00°
Space group Fddd (No. 70, origin choice 2)
Inequivalent atoms, fractional coordinates:
Tc1 0.1250 0.3431 0.1250 x16
H1 0.1250 0.1250 0.5139 x16

Arrangement 3

VASP calculation (PBE-GGA) on TcH after structural relaxation.

M_tot = 0.017 μB per cell

a = 5.0634 Å, b = 5.0634 Å, c = 5.0634 Å
α = 90.00°, β = 90.00°, γ = 90.00°
Space group Pm-3n (No. 223)
Inequivalent atoms, fractional coordinates:
Tc1 0.0000 0.2500 0.5000 x6
H1 0.0000 0.5000 0.2500 x6

In eV/atom, relative to the most stable structure: arrangement 1 0.123; arrangement 2 0.000; arrangement 3 0.530.

Arrangement 1

VASP calculation (PBE-GGA) on TcH after structural relaxation.

M_tot = 0.000 μB per cell

a = 6.9470 Å, b = 6.9470 Å, c = 2.7865 Å
α = 90.00°, β = 90.00°, γ = 120.00°
Space group P6_3/m (No. 176)
Inequivalent atoms, fractional coordinates:
Tc1 0.0206 0.6866 0.2500 x6
H1 0.1594 0.5091 0.2500 x6

Arrangement 2

VASP calculation (PBE-GGA) on TcH after structural relaxation.

M_tot = 0.000 μB per cell

a = 2.8927 Å, b = 2.8927 Å, c = 4.1743 Å
α = 90.00°, β = 90.00°, γ = 90.00°
Space group P4/nmm (No. 129, origin choice 2)
Inequivalent atoms, fractional coordinates:
Tc1 0.2500 0.2500 0.1962 x2
H1 0.2500 0.7500 0.5000 x2

In eV/atom, relative to the most stable structure: arrangement 1 0.242; arrangement 2 0.000.

Arrangement 1

VASP calculation (PBE-GGA) on TcH after structural relaxation.

M_tot = 0.002 μB per cell

a = 5.4539 Å, b = 5.4539 Å, c = 5.4539 Å
α = 90.00°, β = 90.00°, γ = 90.00°
Space group I-43m (No. 217)
Inequivalent atoms, fractional coordinates:
Tc1 0.1865 0.1865 0.8135 x8
H1 0.1337 0.1337 0.1337 x8

Arrangement 2

VASP calculation (PBE-GGA) on TcH after structural relaxation.

M_tot = 1.281 μB per cell

a = 4.1421 Å, b = 4.1421 Å, c = 4.1421 Å
α = 90.00°, β = 90.00°, γ = 90.00°
Space group F-43m (No. 216)
Inequivalent atoms, fractional coordinates:
Tc1 0.0000 0.0000 0.0000 x4
H1 0.2500 0.2500 0.2500 x4

In eV/atom, relative to the most stable structure: arrangement 1 0.424; arrangement 2 0.000.

Arrangement 1

VASP calculation (PBE-GGA) on TcH after structural relaxation.

M_tot = 0.000 μB per cell

a = 7.7183 Å, b = 7.7183 Å, c = 2.8378 Å
α = 90.00°, β = 90.00°, γ = 90.00°
Space group I4/m (No. 87)
Inequivalent atoms, fractional coordinates:
Tc1 0.1230 0.3392 0.0000 x8
H1 0.1057 0.7887 0.0000 x8

Arrangement 2

VASP calculation (PBE-GGA) on TcH after structural relaxation.

M_tot = 0.000 μB per cell

a = 2.9614 Å, b = 2.9614 Å, c = 4.6374 Å
α = 90.00°, β = 90.00°, γ = 120.00°
Space group P6_3mc (No. 186)
Inequivalent atoms, fractional coordinates:
Tc1 0.3333 0.6667 0.0000 x2
H1 0.3333 0.6667 0.6152 x2

In eV/atom, relative to the most stable structure: arrangement 1 0.118; arrangement 2 0.000.

Arrangement 1

VASP calculation (PBE-GGA) on TcH after structural relaxation.

M_tot = 0.000 μB per cell

a = 7.7827 Å, b = 7.7827 Å, c = 2.7968 Å
α = 90.00°, β = 90.00°, γ = 90.00°
Space group P4/m (No. 83)
Inequivalent atoms, fractional coordinates:
Tc1 0.1032 0.3630 0.0000 x4
Tc2 0.1828 0.6451 0.5000 x4
H1 0.1241 0.8008 0.0000 x4
H2 0.2749 0.4243 0.5000 x4

Arrangement 2

VASP calculation (PBE-GGA) on TcH after structural relaxation.

M_tot = 0.000 μB per cell

a = 2.8941 Å, b = 9.0227 Å, c = 4.1448 Å
α = 90.00°, β = 90.00°, γ = 90.00°
Space group Pmmn (No. 59, origin choice 2)
Inequivalent atoms, fractional coordinates:
Tc1 0.2500 0.0625 0.2243 x4
Tc2 0.2500 0.7500 0.1672 x2
H1 0.2500 0.2500 0.0949 x2
H2 0.2500 0.6065 0.4869 x4

In eV/atom, relative to the most stable structure: arrangement 1 0.108; arrangement 2 0.000.